Entry from Alexandria via LeMat-Bulk: a relaxed Cs2InAuF6 crystal (PBE).

The crystal system is cubic. The value obtained for the formation energy from raw total energies is -2.212 eV per atom. For the offset from the most stable computed form, the calculation gives 32 meV/atom. The value obtained for the magnetic moment is 0.00 μB per formula unit.

The structure belongs to space group Fm-3m (No. 225); the cell edges are 9.290, 9.290 and 9.290 Å and the angles 90.00°, 90.00° and 90.00°. The asymmetric unit holds Cs at (0.250, 0.250, 0.250), In at (0.000, 0.000, 0.000), Au at (0.000, 0.000, 0.500) and F at (0.000, 0.000, 0.228).

***

Entry from Alexandria via LeMat-Bulk: a relaxed Cs2SrTeSe4 crystal (PBE).

The crystal system is orthorhombic. The value obtained for the formation energy from raw total energies is -0.843 eV per atom. The value obtained for the magnetic moment is 0.00 μB per formula unit.

The structure belongs to space group Fddd (No. 70, origin choice 2); the cell edges are 7.218, 15.563 and 26.628 Å and the angles 90.00°, 90.00° and 90.00°. The asymmetric unit holds Cs at (0.125, 0.125, 0.309), Sr at (0.125, 0.125, 0.125), Te at (0.125, 0.125, 0.625) and Se at (0.099, 0.266, 0.823).

***

Entry from Alexandria via LeMat-Bulk: a relaxed CrHgPCl2 crystal (PBE).

The crystal system is tetragonal. The value obtained for the formation energy from raw total energies is -0.124 eV per atom. For the offset from the most stable computed form, the calculation gives 0 meV/atom. The value obtained for the magnetic moment is 2.28 μB per formula unit.

The structure belongs to space group P4/mmm (No. 123); the cell edges are 4.747, 4.747 and 4.890 Å and the angles 90.00°, 90.00° and 90.00°. The asymmetric unit holds Cr at (0.000, 0.000, 0.000), Hg at (0.500, 0.500, 0.500), P at (0.000, 0.000, 0.500) and Cl at (0.000, 0.500, 0.000).

***

Entry from Alexandria via LeMat-Bulk: a relaxed KScCdP2 crystal (PBE).

The crystal system is tetragonal. The value obtained for the final energy is -18.4 eV for the cell shown. The value obtained for the magnetic moment is 0.00 μB per formula unit.

The structure belongs to space group P4/mmm (No. 123); the cell edges are 4.957, 4.957 and 6.563 Å and the angles 90.00°, 90.00° and 90.00°. The asymmetric unit holds K at (0.000, 0.000, 0.000), Sc at (0.000, 0.000, 0.500), Cd at (0.500, 0.500, 0.000) and P at (0.000, 0.500, 0.500).

***

Entry from Alexandria via LeMat-Bulk: a relaxed NaPRhAu crystal (PBE).

The crystal system is tetragonal. The value obtained for the final energy is -38.7 eV for the cell shown. The value obtained for the magnetic moment is 0.00 μB per formula unit.

The structure belongs to space group P4/nmm (No. 129, origin choice 2); the cell edges are 3.909, 3.909 and 10.342 Å and the angles 90.00°, 90.00° and 90.00°. The asymmetric unit holds Na at (0.250, 0.250, 0.232), P at (0.250, 0.250, 0.626), Rh at (0.250, 0.750, 0.500) and Au at (0.250, 0.750, 0.000).

***

Entry from Alexandria via LeMat-Bulk: a relaxed Ti2BAs crystal (PBE).

The crystal system is tetragonal. For the offset from the most stable computed form, the calculation gives 368 meV/atom. The value obtained for the magnetic moment is 0.00 μB per formula unit.

The structure belongs to space group I-42d (No. 122); the cell edges are 6.443, 6.443 and 5.526 Å and the angles 90.00°, 90.00° and 90.00°. The asymmetric unit holds Ti at (0.214, 0.250, 0.125), B at (0.000, 0.000, 0.000) and As at (0.000, 0.000, 0.500).

***

Entry from Alexandria via LeMat-Bulk: a relaxed K3MgTc2O9 crystal (PBE).

The crystal system is trigonal. The value obtained for the formation energy from raw total energies is -1.684 eV per atom. The value obtained for the magnetic moment is 0.00 μB per formula unit.

The structure belongs to space group P-3m1 (No. 164); the cell edges are 5.6279, 5.6279 and 6.9268 Å and the angles 90.00°, 90.00° and 120.00°. The asymmetric unit holds K at (0.0000, 0.0000, 0.0000), K at (0.3333, 0.6667, 0.6689), Mg at (0.0000, 0.0000, 0.5000), Tc at (0.3333, 0.6667, 0.1754), O at (0.0000, 0.5000, 0.0000) and O at (0.1745, 0.3490, 0.3198).

***

Entry from Alexandria via LeMat-Bulk: a relaxed Np2UTiP4 crystal (PBE).

The crystal system is monoclinic. The value obtained for the final energy is -74.2 eV for the cell shown. The value obtained for the magnetic moment is 9.10 μB per formula unit.

The structure belongs to space group P2/m (No. 10); the cell edges are 6.612, 3.853 and 6.663 Å and the angles 90.00°, 109.31° and 90.00°. The asymmetric unit holds Np at (0.000, 0.000, 0.000), Np at (0.000, 0.500, 0.500), U at (0.500, 0.000, 0.500), Ti at (0.500, 0.500, 0.000), P at (0.261, 0.500, 0.238) and P at (0.269, 0.000, 0.769).

***

Entry from Alexandria via LeMat-Bulk: a relaxed CeSmPtI crystal (PBE).

The crystal system is trigonal. The value obtained for the formation energy from raw total energies is -1.041 eV per atom. The value obtained for the magnetic moment is 1.10 μB per formula unit.

The structure belongs to space group R3m (No. 160, hexagonal axes); the cell edges are 4.2262, 4.2262 and 24.2699 Å and the angles 90.00°, 90.00° and 120.00°. The asymmetric unit holds Ce at (0.0000, 0.0000, 0.0000), Sm at (0.0000, 0.0000, 0.7912), Pt at (0.0000, 0.0000, 0.3949) and I at (0.0000, 0.0000, 0.5641).

***

Entry from Alexandria via LeMat-Bulk: a relaxed NaLi3Ca4 crystal (PBE).

The crystal system is orthorhombic. The value obtained for the final energy is -14.8 eV for the cell shown. The value obtained for the magnetic moment is 0.00 μB per formula unit.

The structure belongs to space group Pmmm (No. 47); the cell edges are 4.064, 5.718 and 11.379 Å and the angles 90.00°, 90.00° and 90.00°. The asymmetric unit holds Na at (0.000, 0.000, 0.000), Li at (0.000, 0.000, 0.500), Li at (0.000, 0.500, 0.251), Ca at (0.500, 0.000, 0.263), Ca at (0.500, 0.500, 0.000) and Ca at (0.500, 0.500, 0.500).

***

Entry from Alexandria via LeMat-Bulk: a relaxed LiScBe2As crystal (PBE).

The crystal system is tetragonal. The value obtained for the final energy is -13.1 eV for the cell shown. The value obtained for the magnetic moment is 0.00 μB per formula unit.

The structure belongs to space group P4/mmm (No. 123); the cell edges are 4.638, 4.638 and 4.954 Å and the angles 90.00°, 90.00° and 90.00°. The asymmetric unit holds Li at (0.000, 0.000, 0.000), Sc at (0.000, 0.000, 0.500), Be at (0.000, 0.500, 0.500) and As at (0.500, 0.500, 0.000).

***

Entry from Alexandria via LeMat-Bulk: a relaxed LaTbErTm2 crystal (PBE).

The crystal system is orthorhombic. The value obtained for the final energy is -85.0 eV for the cell shown. The value obtained for the magnetic moment is 0.00 μB per formula unit.

The structure belongs to space group Cmcm (No. 63); the cell edges are 8.377, 11.448 and 7.204 Å and the angles 90.00°, 90.00° and 90.00°. The asymmetric unit holds La at (0.000, 0.232, 0.250), Tb at (0.000, 0.499, 0.750), Er at (0.000, 0.217, 0.750) and Tm at (0.189, 0.000, 0.000).